(1)
Here is crystalline AcGa2Sn4 at its relaxed geometry from the Alexandria database. Energies are from PBE.

M_tot = 0.00 μB/cell
DFT formation energy = -166 kJ/mol of formula units
Calculated volume = 27.297 Å³/atom

Lattice parameters (Å, degrees): 4.620 17.918 4.617 90.00 90.00 90.00
Space group Cmmm (No. 65)
One atom of each set of equivalent atoms:
Ac 0.000 0.000 0.000 [2 per cell]
Ga 0.000 0.430 0.500 [4 per cell]
Sn 0.000 0.172 0.500 [4 per cell]
Sn 0.000 0.331 0.000 [4 per cell]



(2)
Here is crystalline AcGaSn4 at its relaxed geometry from the Alexandria database. Energies are from PBE.

M_tot = 0.00 μB/cell
DFT formation energy = -128 kJ/mol of formula units
Calculated volume = 29.117 Å³/atom

Lattice parameters (Å, degrees): 8.874 8.874 8.874 90.00 90.00 90.00
Space group F-43m (No. 216)
One atom of each set of equivalent atoms:
Ac 0.000 0.000 0.000 [4 per cell]
Ga 0.250 0.250 0.250 [4 per cell]
Sn 0.125 0.125 0.625 [16 per cell]



(3)
Here is crystalline Ac3Ga3Sn2 at its relaxed geometry from the Alexandria database. Energies are from PBE.

M_tot = 0.00 μB/cell
ΔE to the lowest computed polymorph = 0 meV per atom
DFT formation energy = -463 kJ/mol of formula units
Calculated volume = 30.356 Å³/atom

Lattice parameters (Å, degrees): 4.553 12.410 17.191 90.00 90.00 90.00
Space group Cmcm (No. 63)
One atom of each set of equivalent atoms:
Ac 0.000 0.059 0.250 [4 per cell]
Ac 0.000 0.354 0.093 [8 per cell]
Ga 0.000 0.040 0.066 [8 per cell]
Ga 0.000 0.207 0.750 [4 per cell]
Sn 0.000 0.349 0.612 [8 per cell]



(4)
Here is crystalline Ac3GaSn3 at its relaxed geometry from the Alexandria database. Energies are from PBE.

M_tot = 0.00 μB/cell
ΔE to the lowest computed polymorph = 0 meV per atom
DFT formation energy = -434 kJ/mol of formula units
Calculated volume = 32.639 Å³/atom

Lattice parameters (Å, degrees): 12.354 4.766 16.131 90.00 105.82 90.00
Space group C2/m (No. 12)
One atom of each set of equivalent atoms:
Ac 0.019 0.000 0.381 [4 per cell]
Ac 0.103 0.000 0.923 [4 per cell]
Ac 0.239 0.000 0.234 [4 per cell]
Ga 0.233 0.500 0.380 [4 per cell]
Sn 0.016 0.500 0.228 [4 per cell]
Sn 0.123 0.500 0.081 [4 per cell]
Sn 0.149 0.500 0.539 [4 per cell]



(5)
Here is crystalline Ac8GaSn2 at its relaxed geometry from the Alexandria database. Energies are from PBE.

M_tot = 0.00 μB/cell
DFT formation energy = -331 kJ/mol of formula units
Calculated volume = 38.797 Å³/atom

Lattice parameters (Å, degrees): 21.013 5.570 7.506 90.00 103.69 90.00
Space group C2/m (No. 12)
One atom of each set of equivalent atoms:
Ac 0.020 0.000 0.279 [4 per cell]
Ac 0.090 0.500 0.962 [4 per cell]
Ac 0.155 0.500 0.490 [4 per cell]
Ac 0.213 0.000 0.823 [4 per cell]
Ga 0.000 0.500 0.500 [2 per cell]
Sn 0.182 0.000 0.254 [4 per cell]



(6)
Here is crystalline Ac3Ga2Sn at its relaxed geometry from the Alexandria database. Energies are from PBE.

M_tot = 0.00 μB/cell
ΔE to the lowest computed polymorph = 0 meV per atom
DFT formation energy = -284 kJ/mol of formula units
Calculated volume = 31.725 Å³/atom

Lattice parameters (Å, degrees): 3.992 3.992 11.946 90.00 90.00 90.00
Space group P4/mmm (No. 123)
One atom of each set of equivalent atoms:
Ac 0.000 0.000 0.000 [1 per cell]
Ac 0.000 0.000 0.322 [2 per cell]
Ga 0.500 0.500 0.157 [2 per cell]
Sn 0.500 0.500 0.500 [1 per cell]



(7)
Here is crystalline AcGaSn at its relaxed geometry from the Alexandria database. Energies are from PBE.

M_tot = 0.00 μB/cell
ΔE to the lowest computed polymorph = 262 meV per atom
DFT formation energy = -113 kJ/mol of formula units
Calculated volume = 31.455 Å³/atom

Lattice parameters (Å, degrees): 7.227 7.227 7.227 90.00 90.00 90.00
Space group F-43m (No. 216)
One atom of each set of equivalent atoms:
Ac 0.000 0.000 0.000 [4 per cell]
Ga 0.250 0.250 0.250 [4 per cell]
Sn 0.000 0.000 0.500 [4 per cell]



(8)
Here is crystalline Ac2GaSn at its relaxed geometry from the Alexandria database. Energies are from PBE.

M_tot = 0.00 μB/cell
DFT formation energy = -247 kJ/mol of formula units
Calculated volume = 33.353 Å³/atom

Lattice parameters (Å, degrees): 6.614 4.442 9.564 90.00 108.24 90.00
Space group P2_1/m (No. 11)
One atom of each set of equivalent atoms:
Ac 0.204 0.250 0.423 [2 per cell]
Ac 0.279 0.750 0.064 [2 per cell]
Ga 0.140 0.250 0.787 [2 per cell]
Sn 0.361 0.750 0.714 [2 per cell]



(9)
Here is crystalline AcGaSn at its relaxed geometry from the Alexandria database. Energies are from PBE.

M_tot = 0.00 μB/cell
ΔE to the lowest computed polymorph = 0 meV per atom
DFT formation energy = -189 kJ/mol of formula units
Calculated volume = 29.563 Å³/atom

Lattice parameters (Å, degrees): 4.5745 4.5745 4.8940 90.00 90.00 120.00
Space group P3m1 (No. 156)
One atom of each set of equivalent atoms:
Ac 0.0000 0.0000 0.0000 [1 per cell]
Ga 0.3333 0.6667 0.6254 [1 per cell]
Sn 0.6667 0.3333 0.4501 [1 per cell]



(10)
Here is crystalline Ac5Ga4Sn at its relaxed geometry from the Alexandria database. Energies are from PBE.

M_tot = 0.00 μB/cell
DFT formation energy = -456 kJ/mol of formula units
Calculated volume = 31.097 Å³/atom

Lattice parameters (Å, degrees): 3.954 3.954 19.886 90.00 90.00 90.00
Space group P4/mmm (No. 123)
One atom of each set of equivalent atoms:
Ac 0.000 0.000 0.000 [1 per cell]
Ac 0.000 0.000 0.196 [2 per cell]
Ac 0.000 0.000 0.391 [2 per cell]
Ga 0.500 0.500 0.098 [2 per cell]
Ga 0.500 0.500 0.291 [2 per cell]
Sn 0.500 0.500 0.500 [1 per cell]



(11)
Here is crystalline Ac4GaSn at its relaxed geometry from the Alexandria database. Energies are from PBE.

M_tot = 0.94 μB/cell
ΔE to the lowest computed polymorph = 0 meV per atom
DFT formation energy = -207 kJ/mol of formula units
Calculated volume = 38.145 Å³/atom

Lattice parameters (Å, degrees): 7.877 7.877 7.377 90.00 90.00 90.00
Space group P4/mcc (No. 124)
One atom of each set of equivalent atoms:
Ac 0.168 0.318 0.000 [8 per cell]
Ga 0.000 0.000 0.250 [2 per cell]
Sn 0.500 0.500 0.250 [2 per cell]



(12)
Here is crystalline Ac3Ga2Sn4 at its relaxed geometry from the Alexandria database. Energies are from PBE.

M_tot = 0.00 μB/cell
ΔE to the lowest computed polymorph = 0 meV per atom
DFT formation energy = -512 kJ/mol of formula units
Calculated volume = 30.729 Å³/atom

Lattice parameters (Å, degrees): 12.654 4.673 9.464 90.00 98.74 90.00
Space group C2/m (No. 12)
One atom of each set of equivalent atoms:
Ac 0.000 0.000 0.000 [2 per cell]
Ac 0.168 0.500 0.668 [4 per cell]
Ga 0.152 0.500 0.325 [4 per cell]
Sn 0.038 0.000 0.360 [4 per cell]
Sn 0.195 0.500 0.047 [4 per cell]



What is the DFT formation energy in the third record?
-463 kJ/mol of formula units



What is the formula in the twelfth record?
Ac3Ga2Sn4



Which value of M_tot does entry 11 give?
0.94 μB/cell



Number 1 is which compound?
AcGa2Sn4